# 1
# TeOsCl2

A relaxed TeOsCl2 crystal (PBE, the Alexandria database).

Results
The polymorph energy (0 for the lowest one) is 1248 meV/atom. For the total magnetization, the calculation gives 2.9 Bohr magnetons per cell. As for the symmetry: I4/mmm, No. 139. As for the energy relative to the elements, uncorrected: 1203 meV/atom.

Cell: 5.516 5.516 5.516 Å, 134.50 134.50 66.30°
Fractional coordinates of all 4 atoms:
Te1 0.000 0.000 0.000
Os1 0.500 0.500 0.000
Cl1 0.250 0.750 0.500
Cl2 0.750 0.250 0.500

=====

# 2
# LiMg2GaN

A relaxed LiMg2GaN crystal (PBE, the Alexandria database).

Results
For the total magnetization, the calculation gives 0.0 Bohr magnetons per cell. As for the symmetry: P4/mmm, No. 123. As for the energy relative to the elements, uncorrected: -317 meV/atom.

Cell: 4.221 4.221 4.283 Å, 90.00 90.00 90.00°
Fractional coordinates of all 5 atoms:
Li1 0.000 0.000 0.000
Mg1 0.000 0.500 0.500
Mg2 0.500 0.000 0.500
Ga1 0.500 0.500 0.000
N1 0.000 0.000 0.500